Record 1
Material: NaTiSb3
Method: DFT, GGA-PBEsol
State: optimized geometry

## Properties
Polymorph energy (0 for the lowest one) (eV/f.u.): 0.00
E_form (uncorrected) (meV per atom): -85

abc: 5.246 5.246 5.246
angles: 90.00 90.00 90.00
Fractional positions:
Sb 0.000 0.500 0.000
Sb 0.000 0.000 0.500
Sb 0.500 0.000 0.000
Na 0.500 0.500 0.500
Ti 0.000 0.000 0.000

Record 2
Material: Na2TlSb
Method: DFT, GGA-PBEsol
State: optimized geometry

## Properties
E_form (uncorrected) (meV per atom): -307

abc: 5.279 5.279 5.279
angles: 60.00 60.00 60.00
Fractional positions:
Sb 0.500 0.500 0.500
Tl 0.000 0.000 0.000
Na 0.250 0.250 0.250
Na 0.750 0.750 0.750

Record 3
Material: NaSb2W
Method: DFT, GGA-PBEsol
State: optimized geometry

## Properties
E_form (uncorrected) (meV per atom): 451

abc: 4.851 4.851 4.851
angles: 60.00 60.00 60.00
Fractional positions:
Sb 0.250 0.250 0.250
Sb 0.750 0.750 0.750
W 0.500 0.500 0.500
Na 0.000 0.000 0.000